1.
# MoPb2 (PBE, optimized geometry)
# Distance to the lowest polymorph of the same formula ... 0.16 eV per formula unit
# Formation enthalpy at 0 K ... 0.450 eV/atom
# Density of states at the Fermi level ... 1.81 states/eV/f.u.
data_MoPb2
_cell_length_a 12.220
_cell_length_b 3.338
_cell_length_c 8.067
_cell_angle_alpha 90.00
_cell_angle_beta 104.62
_cell_angle_gamma 90.00
_symmetry_space_group_name_H-M 'C 1 m 1'
_symmetry_Int_Tables_number 8
loop_
_symmetry_equiv_pos_as_xyz
'x,y,z'
'x,-y,z'
'x+1/2,y+1/2,z'
'x+1/2,-y+1/2,z'
loop_
_atom_site_label
_atom_site_type_symbol
_atom_site_fract_x
_atom_site_fract_y
_atom_site_fract_z
Mo1 Mo 0.000 0.000 0.000
Mo2 Mo 0.129 0.500 0.166
Pb1 Pb 0.032 0.000 0.404
Pb2 Pb 0.126 0.500 0.790
Pb3 Pb 0.323 0.000 0.108
Pb4 Pb 0.342 0.000 0.637

2.
# TlZn3Pb (PBE, optimized geometry)
# Distance to the lowest polymorph of the same formula ... 0.00 eV per formula unit
# Formation enthalpy at 0 K ... 0.504 eV/atom
# Density of states at the Fermi level ... 2.35 states/eV/f.u.
data_TlZn3Pb
_cell_length_a 5.434
_cell_length_b 5.434
_cell_length_c 5.434
_cell_angle_alpha 90.00
_cell_angle_beta 90.00
_cell_angle_gamma 90.00
_symmetry_space_group_name_H-M 'P m -3 m'
_symmetry_Int_Tables_number 221
_symmetry_space_group_name_Hall '-P 4 2 3'
loop_
_atom_site_label
_atom_site_type_symbol
_atom_site_fract_x
_atom_site_fract_y
_atom_site_fract_z
Tl1 Tl 0.000 0.000 0.000
Zn1 Zn 0.000 0.500 0.500
Pb1 Pb 0.500 0.500 0.500

3.
# BeNiRu2 (PBE, optimized geometry)
# Formation enthalpy at 0 K ... -0.119 eV/atom
# Density of states at the Fermi level ... 3.79 states/eV/f.u.
data_BeNiRu2
_cell_length_a 2.696
_cell_length_b 2.696
_cell_length_c 6.409
_cell_angle_alpha 90.00
_cell_angle_beta 90.00
_cell_angle_gamma 90.00
_symmetry_space_group_name_H-M 'P 4 m m'
_symmetry_Int_Tables_number 99
loop_
_symmetry_equiv_pos_as_xyz
'x,y,z'
'-y,x,z'
'-x,-y,z'
'y,-x,z'
'-x,y,z'
'y,x,z'
'x,-y,z'
'-y,-x,z'
loop_
_atom_site_label
_atom_site_type_symbol
_atom_site_fract_x
_atom_site_fract_y
_atom_site_fract_z
Be1 Be 0.000 0.000 0.000
Ni1 Ni 0.500 0.500 0.192
Ru1 Ru 0.000 0.000 0.480
Ru2 Ru 0.500 0.500 0.762

4.
# YHfI2 (PBE, optimized geometry)
# Distance to the lowest polymorph of the same formula ... 0.00 eV per formula unit
# Raw formation energy ... -0.12 eV per atom
# Density of states at the Fermi level ... 2.35 states/eV/f.u.
data_YHfI2
_cell_length_a 7.383
_cell_length_b 7.383
_cell_length_c 7.383
_cell_angle_alpha 90.00
_cell_angle_beta 90.00
_cell_angle_gamma 90.00
_symmetry_space_group_name_H-M 'F m -3 m'
_symmetry_Int_Tables_number 225
_symmetry_space_group_name_Hall '-F 4 2 3'
loop_
_atom_site_label
_atom_site_type_symbol
_atom_site_fract_x
_atom_site_fract_y
_atom_site_fract_z
Y1 Y 0.000 0.000 0.000
Hf1 Hf 0.000 0.000 0.500
I1 I 0.250 0.250 0.250

5.
# Pm6Ho3Tm (PBE, optimized geometry)
# Distance to the lowest polymorph of the same formula ... 0.59 eV per formula unit
# Formation enthalpy at 0 K ... 0.202 eV/atom
# Density of states at the Fermi level ... 12.43 states/eV/f.u.
data_Pm6Ho3Tm
_cell_length_a 6.105
_cell_length_b 9.389
_cell_length_c 13.148
_cell_angle_alpha 90.00
_cell_angle_beta 117.27
_cell_angle_gamma 90.00
_symmetry_space_group_name_H-M 'P 1 21/c 1'
_symmetry_Int_Tables_number 14
loop_
_symmetry_equiv_pos_as_xyz
'x,y,z'
'-x,-y,-z'
'-x,y+1/2,-z+1/2'
'x,-y+1/2,z+1/2'
loop_
_atom_site_label
_atom_site_type_symbol
_atom_site_fract_x
_atom_site_fract_y
_atom_site_fract_z
Pm1 Pm 0.079 0.155 0.080
Pm2 Pm 0.375 0.032 0.750
Pm3 Pm 0.418 0.157 0.420
Ho1 Ho 0.000 0.000 0.500
Ho2 Ho 0.142 0.678 0.750
Tm1 Tm 0.500 0.000 0.000

6.
# RbHg14Au (PBE, optimized geometry)
# Formation enthalpy at 0 K ... -0.046 eV/atom
# Density of states at the Fermi level ... 2.07 states/eV/f.u.
data_RbHg14Au
_cell_length_a 10.044
_cell_length_b 6.698
_cell_length_c 14.221
_cell_angle_alpha 90.00
_cell_angle_beta 90.00
_cell_angle_gamma 90.00
_symmetry_space_group_name_H-M 'A m m 2'
_symmetry_Int_Tables_number 38
loop_
_symmetry_equiv_pos_as_xyz
'x,y,z'
'-x,-y,z'
'-x,y,z'
'x,-y,z'
'x,y+1/2,z+1/2'
'-x,-y+1/2,z+1/2'
'-x,y+1/2,z+1/2'
'x,-y+1/2,z+1/2'
loop_
_atom_site_label
_atom_site_type_symbol
_atom_site_fract_x
_atom_site_fract_y
_atom_site_fract_z
Rb1 Rb 0.000 0.000 0.000
Hg1 Hg 0.000 0.244 0.745
Hg2 Hg 0.181 0.000 0.590
Hg3 Hg 0.263 0.000 0.162
Hg4 Hg 0.273 0.242 0.387
Hg5 Hg 0.500 0.000 0.006
Hg6 Hg 0.500 0.000 0.530
Hg7 Hg 0.500 0.229 0.734
Au1 Au 0.000 0.000 0.418

7.
# La6Tl2Cd (PBE, optimized geometry)
# Distance to the lowest polymorph of the same formula ... 0.00 eV per formula unit
# Formation enthalpy at 0 K ... -0.247 eV/atom
# Density of states at the Fermi level ... 10.78 states/eV/f.u.
data_La6Tl2Cd
_cell_length_a 5.6910
_cell_length_b 5.6910
_cell_length_c 10.6631
_cell_angle_alpha 90.00
_cell_angle_beta 90.00
_cell_angle_gamma 120.00
_symmetry_space_group_name_H-M 'P -3 m 1'
_symmetry_Int_Tables_number 164
_symmetry_space_group_name_Hall '-P 3 2"'
loop_
_atom_site_label
_atom_site_type_symbol
_atom_site_fract_x
_atom_site_fract_y
_atom_site_fract_z
La1 La 0.0000 0.0000 0.1805
La2 La 0.3333 0.6667 0.0220
La3 La 0.3333 0.6667 0.3908
Tl1 Tl 0.3333 0.6667 0.7106
Cd1 Cd 0.0000 0.0000 0.5000

8.
# K2UPO6 (PBE, optimized geometry)
# Raw formation energy ... -2.30 eV per atom
data_K2UPO6
_cell_length_a 7.874
_cell_length_b 7.874
_cell_length_c 7.874
_cell_angle_alpha 90.00
_cell_angle_beta 90.00
_cell_angle_gamma 90.00
_symmetry_space_group_name_H-M 'F m -3 m'
_symmetry_Int_Tables_number 225
_symmetry_space_group_name_Hall '-F 4 2 3'
loop_
_atom_site_label
_atom_site_type_symbol
_atom_site_fract_x
_atom_site_fract_y
_atom_site_fract_z
K1 K 0.250 0.250 0.250
U1 U 0.000 0.000 0.000
P1 P 0.000 0.000 0.500
O1 O 0.000 0.000 0.277

9.
# AlOs3 (PBE, optimized geometry)
# Formation enthalpy at 0 K ... 0.205 eV/atom
# Density of states at the Fermi level ... 4.87 states/eV/f.u.
data_AlOs3
_cell_length_a 3.860
_cell_length_b 3.860
_cell_length_c 3.860
_cell_angle_alpha 90.00
_cell_angle_beta 90.00
_cell_angle_gamma 90.00
_symmetry_space_group_name_H-M 'P m -3 m'
_symmetry_Int_Tables_number 221
_symmetry_space_group_name_Hall '-P 4 2 3'
loop_
_atom_site_label
_atom_site_type_symbol
_atom_site_fract_x
_atom_site_fract_y
_atom_site_fract_z
Al1 Al 0.000 0.000 0.000
Os1 Os 0.000 0.500 0.500

10.
# SrTbCu2S4 (PBE, optimized geometry)
# Raw formation energy ... -1.15 eV per atom
# Density of states at the Fermi level ... 3.18 states/eV/f.u.
data_SrTbCu2S4
_cell_length_a 6.617
_cell_length_b 6.617
_cell_length_c 7.794
_cell_angle_alpha 90.00
_cell_angle_beta 90.00
_cell_angle_gamma 90.00
_symmetry_space_group_name_H-M 'I -4 2 m'
_symmetry_Int_Tables_number 121
_symmetry_space_group_name_Hall 'I -4 2'
loop_
_atom_site_label
_atom_site_type_symbol
_atom_site_fract_x
_atom_site_fract_y
_atom_site_fract_z
Sr1 Sr 0.000 0.000 0.000
Tb1 Tb 0.000 0.000 0.500
Cu1 Cu 0.000 0.500 0.250
S1 S 0.225 0.225 0.285

11.
# RbMgTl4 (PBE, optimized geometry)
# Distance to the lowest polymorph of the same formula ... 0.00 eV per formula unit
# Formation enthalpy at 0 K ... -0.057 eV/atom
# Density of states at the Fermi level ... 2.19 states/eV/f.u.
data_RbMgTl4
_cell_length_a 3.974
_cell_length_b 3.974
_cell_length_c 12.158
_cell_angle_alpha 90.00
_cell_angle_beta 90.00
_cell_angle_gamma 90.00
_symmetry_space_group_name_H-M 'P 4/m m m'
_symmetry_Int_Tables_number 123
_symmetry_space_group_name_Hall '-P 4 2'
loop_
_atom_site_label
_atom_site_type_symbol
_atom_site_fract_x
_atom_site_fract_y
_atom_site_fract_z
Rb1 Rb 0.000 0.000 0.000
Mg1 Mg 0.500 0.500 0.500
Tl1 Tl 0.000 0.000 0.363
Tl2 Tl 0.500 0.500 0.216

12.
# KBa2Th (PBE, optimized geometry)
# Formation enthalpy at 0 K ... 0.514 eV/atom
# Density of states at the Fermi level ... 6.45 states/eV/f.u.
data_KBa2Th
_cell_length_a 3.8231
_cell_length_b 3.8231
_cell_length_c 45.8564
_cell_angle_alpha 90.00
_cell_angle_beta 90.00
_cell_angle_gamma 120.00
_symmetry_space_group_name_H-M 'R -3 m'
_symmetry_Int_Tables_number 166
_symmetry_space_group_name_Hall '-R 3 2"'
loop_
_atom_site_label
_atom_site_type_symbol
_atom_site_fract_x
_atom_site_fract_y
_atom_site_fract_z
K1 K 0.0000 0.0000 0.0000
Ba1 Ba 0.0000 0.0000 0.4201
Th1 Th 0.0000 0.0000 0.5000

13.
# Ca2H6RuPt (PBE, optimized geometry)
# Density of states at the Fermi level ... 0.46 states/eV/f.u.
data_Ca2H6RuPt
_cell_length_a 5.080
_cell_length_b 5.080
_cell_length_c 7.837
_cell_angle_alpha 90.00
_cell_angle_beta 90.00
_cell_angle_gamma 90.00
_symmetry_space_group_name_H-M 'I 4/m m m'
_symmetry_Int_Tables_number 139
_symmetry_space_group_name_Hall '-I 4 2'
loop_
_atom_site_label
_atom_site_type_symbol
_atom_site_fract_x
_atom_site_fract_y
_atom_site_fract_z
Ca1 Ca 0.000 0.500 0.250
H1 H 0.000 0.000 0.225
H2 H 0.249 0.249 0.000
Ru1 Ru 0.000 0.000 0.000
Pt1 Pt 0.000 0.000 0.500

14.
# ErCoSe2 (PBE, optimized geometry)
# Raw formation energy ... -0.38 eV per atom
# Density of states at the Fermi level ... 1.07 states/eV/f.u.
data_ErCoSe2
_cell_length_a 3.6200
_cell_length_b 3.6200
_cell_length_c 24.0423
_cell_angle_alpha 90.00
_cell_angle_beta 90.00
_cell_angle_gamma 120.00
_symmetry_space_group_name_H-M 'R -3 m'
_symmetry_Int_Tables_number 166
_symmetry_space_group_name_Hall '-R 3 2"'
loop_
_atom_site_label
_atom_site_type_symbol
_atom_site_fract_x
_atom_site_fract_y
_atom_site_fract_z
Er1 Er 0.0000 0.0000 0.0000
Co1 Co 0.0000 0.0000 0.5000
Se1 Se 0.0000 0.0000 0.1165

15.
# Nd2SnIr (PBE, optimized geometry)
# Distance to the lowest polymorph of the same formula ... 0.79 eV per formula unit
# Formation enthalpy at 0 K ... -0.511 eV/atom
# Density of states at the Fermi level ... 3.06 states/eV/f.u.
data_Nd2SnIr
_cell_length_a 4.0453
_cell_length_b 4.0453
_cell_length_c 24.7040
_cell_angle_alpha 90.00
_cell_angle_beta 90.00
_cell_angle_gamma 120.00
_symmetry_space_group_name_H-M 'R -3 m'
_symmetry_Int_Tables_number 166
_symmetry_space_group_name_Hall '-R 3 2"'
loop_
_atom_site_label
_atom_site_type_symbol
_atom_site_fract_x
_atom_site_fract_y
_atom_site_fract_z
Nd1 Nd 0.0000 0.0000 0.2346
Sn1 Sn 0.0000 0.0000 0.0000
Ir1 Ir 0.0000 0.0000 0.5000

16.
# LiPmZnBi (PBE, optimized geometry)
# Formation enthalpy at 0 K ... -0.358 eV/atom
# Density of states at the Fermi level ... 3.16 states/eV/f.u.
data_LiPmZnBi
_cell_length_a 7.354
_cell_length_b 7.354
_cell_length_c 7.354
_cell_angle_alpha 90.00
_cell_angle_beta 90.00
_cell_angle_gamma 90.00
_symmetry_space_group_name_H-M 'F -4 3 m'
_symmetry_Int_Tables_number 216
_symmetry_space_group_name_Hall 'F -4 2 3'
loop_
_atom_site_label
_atom_site_type_symbol
_atom_site_fract_x
_atom_site_fract_y
_atom_site_fract_z
Li1 Li 0.000 0.000 0.000
Pm1 Pm 0.000 0.000 0.500
Zn1 Zn 0.250 0.250 0.250
Bi1 Bi 0.250 0.250 0.750

17.
# Mg2FeTc (PBE, optimized geometry)
# Distance to the lowest polymorph of the same formula ... 0.72 eV per formula unit
# Formation enthalpy at 0 K ... 0.276 eV/atom
# Density of states at the Fermi level ... 3.16 states/eV/f.u.
data_Mg2FeTc
_cell_length_a 9.185
_cell_length_b 2.765
_cell_length_c 5.038
_cell_angle_alpha 90.00
_cell_angle_beta 99.96
_cell_angle_gamma 90.00
_symmetry_space_group_name_H-M 'C 1 m 1'
_symmetry_Int_Tables_number 8
loop_
_symmetry_equiv_pos_as_xyz
'x,y,z'
'x,-y,z'
'x+1/2,y+1/2,z'
'x+1/2,-y+1/2,z'
loop_
_atom_site_label
_atom_site_type_symbol
_atom_site_fract_x
_atom_site_fract_y
_atom_site_fract_z
Mg1 Mg 0.000 0.000 0.000
Mg2 Mg 0.233 0.000 0.736
Fe1 Fe 0.249 0.500 0.276
Tc1 Tc 0.476 0.000 0.471

18.
# Sm11Y4Er9 (PBE, optimized geometry)
# Formation enthalpy at 0 K ... 0.063 eV/atom
# Density of states at the Fermi level ... 31.58 states/eV/f.u.
data_Sm11Y4Er9
_cell_length_a 16.839
_cell_length_b 25.570
_cell_length_c 3.639
_cell_angle_alpha 90.00
_cell_angle_beta 90.00
_cell_angle_gamma 90.00
_symmetry_space_group_name_H-M 'C m m m'
_symmetry_Int_Tables_number 65
_symmetry_space_group_name_Hall '-C 2 2'
loop_
_atom_site_label
_atom_site_type_symbol
_atom_site_fract_x
_atom_site_fract_y
_atom_site_fract_z
Sm1 Sm 0.000 0.000 0.000
Sm2 Sm 0.000 0.161 0.000
Sm3 Sm 0.000 0.368 0.000
Sm4 Sm 0.210 0.500 0.000
Sm5 Sm 0.223 0.181 0.000
Y1 Y 0.157 0.399 0.500
Er1 Er 0.000 0.500 0.500
Er2 Er 0.102 0.268 0.500
Er3 Er 0.140 0.073 0.500

19.
# PrSm3Y (PBE, optimized geometry)
# Formation enthalpy at 0 K ... 0.025 eV/atom
# Density of states at the Fermi level ... 8.79 states/eV/f.u.
data_PrSm3Y
_cell_length_a 22.419
_cell_length_b 3.683
_cell_length_c 8.653
_cell_angle_alpha 90.00
_cell_angle_beta 106.01
_cell_angle_gamma 90.00
_symmetry_space_group_name_H-M 'C 1 2/m 1'
_symmetry_Int_Tables_number 12
loop_
_symmetry_equiv_pos_as_xyz
'x,y,z'
'-x,-y,-z'
'-x,y,-z'
'x,-y,z'
'x+1/2,y+1/2,z'
'-x+1/2,-y+1/2,-z'
'-x+1/2,y+1/2,-z'
'x+1/2,-y+1/2,z'
loop_
_atom_site_label
_atom_site_type_symbol
_atom_site_fract_x
_atom_site_fract_y
_atom_site_fract_z
Pr1 Pr 0.085 0.000 0.088
Sm1 Sm 0.017 0.500 0.714
Sm2 Sm 0.118 0.000 0.519
Sm3 Sm 0.184 0.500 0.884
Y1 Y 0.218 0.500 0.320

20.
# Dy3Er4Tm (PBE, optimized geometry)
# Distance to the lowest polymorph of the same formula ... 0.00 eV per formula unit
# Formation enthalpy at 0 K ... 0.001 eV/atom
# Density of states at the Fermi level ... 12.94 states/eV/f.u.
data_Dy3Er4Tm
_cell_length_a 11.106
_cell_length_b 7.189
_cell_length_c 6.214
_cell_angle_alpha 90.00
_cell_angle_beta 90.00
_cell_angle_gamma 90.00
_symmetry_space_group_name_H-M 'P m n 21'
_symmetry_Int_Tables_number 31
loop_
_symmetry_equiv_pos_as_xyz
'x,y,z'
'-x+1/2,-y,z+1/2'
'-x,y,z'
'x+1/2,-y,z+1/2'
loop_
_atom_site_label
_atom_site_type_symbol
_atom_site_fract_x
_atom_site_fract_y
_atom_site_fract_z
Dy1 Dy 0.000 0.126 0.000
Dy2 Dy 0.250 0.125 0.333
Er1 Er 0.000 0.376 0.501
Er2 Er 0.000 0.624 0.000
Er3 Er 0.249 0.625 0.333
Tm1 Tm 0.000 0.874 0.500

no.,total magnetic moment (Bohr magnetons per cell),E_tot (eV/atom)
1,0.000,-5.63
2,0.000,-1.48
3,0.000,-7.13
4,0.000,-5.00
5,0.000,-4.47
6,0.000,-0.58
7,0.001,-4.16
8,4.000,-7.16
9,0.000,-9.15
10,0.000,-5.03
11,0.000,-2.06
12,0.000,-2.58
13,0.000,-4.44
14,0.000,-5.04
15,0.000,-6.11
16,0.000,-3.31
17,4.451,-5.23
18,0.001,-4.89
19,0.000,-5.06
20,0.000,-4.57